# 1
# PrYZn2

A geometry-optimized PrYZn2 structure (PBE-GGA, Alexandria via LeMat-Bulk).

For the distance to the lowest polymorph of the same formula, the calculation gives 0.07 kJ per mole of atoms. The calculation puts the formation energy at -322 meV per atom. The calculation puts the spin magnetization at 0.00 μB/f.u.

The space group is Fm-3m (No. 225) and the conventional cell measures 7.2995, 7.2995 and 7.2995 Å, with angles of 90.00, 90.00 and 90.00 degrees. The asymmetric unit holds Pr at (0.0000, 0.0000, 0.0000), Y at (0.0000, 0.0000, 0.5000) and Zn at (0.2500, 0.2500, 0.2500).

# 2
# PrY3Zn2

A geometry-optimized PrY3Zn2 structure (PBE-GGA, Alexandria via LeMat-Bulk).

The calculation puts the formation energy at -240 meV per atom. The calculation puts the spin magnetization at 0.00 μB/f.u.

The space group is P4/mmm (No. 123) and the conventional cell measures 3.5898, 3.5898 and 12.4391 Å, with angles of 90.00, 90.00 and 90.00 degrees. The asymmetric unit holds Pr at (0.0000, 0.0000, 0.0000), Y at (0.5000, 0.5000, 0.2151), Y at (0.5000, 0.5000, 0.5000) and Zn at (0.0000, 0.0000, 0.3581).

# 3
# Pr2Y3Zn2

A geometry-optimized Pr2Y3Zn2 structure (PBE-GGA, Alexandria via LeMat-Bulk).

The calculation puts the formation energy at -91 meV per atom. The calculation puts the spin magnetization at 0.00 μB/f.u.

The space group is C2/m (No. 12) and the conventional cell measures 11.7973, 4.7899 and 8.1545 Å, with angles of 90.00, 117.56 and 90.00 degrees. The asymmetric unit holds Pr at (0.1387, 0.0000, 0.2975), Y at (0.0000, 0.5000, 0.5000), Y at (0.1351, 0.5000, 0.9670) and Zn at (0.1395, 0.0000, 0.6919).

# 4
# Pr3YZn2

A geometry-optimized Pr3YZn2 structure (PBE-GGA, Alexandria via LeMat-Bulk).

For the distance to the lowest polymorph of the same formula, the calculation gives 24.15 kJ per mole of atoms. The calculation puts the formation energy at 49 meV per atom. The calculation puts the spin magnetization at 0.00 μB/f.u.

The space group is Ibam (No. 72) and the conventional cell measures 7.0512, 14.8751 and 7.3535 Å, with angles of 90.00, 90.00 and 90.00 degrees. The asymmetric unit holds Pr at (0.0000, 0.0000, 0.2500), Pr at (0.0000, 0.2742, 0.2500), Y at (0.0000, 0.5000, 0.0000) and Zn at (0.2053, 0.1362, 0.0000).

# 5
# Pr3YZn8

A geometry-optimized Pr3YZn8 structure (PBE-GGA, Alexandria via LeMat-Bulk).

The calculation puts the formation energy at -299 meV per atom. The calculation puts the spin magnetization at 0.00 μB/f.u.

The space group is P3m1 (No. 156) and the conventional cell measures 5.6939, 5.6939 and 8.7564 Å, with angles of 90.00, 90.00 and 120.00 degrees. The asymmetric unit holds Pr at (0.0000, 0.0000, 0.0000), Pr at (0.0000, 0.0000, 0.3965), Pr at (0.3333, 0.6667, 0.8957), Y at (0.3333, 0.6667, 0.5053), Zn at (0.3410, 0.1705, 0.6969), Zn at (0.5004, 0.0008, 0.2032), Zn at (0.6667, 0.3333, 0.4472) and Zn at (0.6667, 0.3333, 0.9523).

# 6
# PrY2Zn

A geometry-optimized PrY2Zn structure (PBE-GGA, Alexandria via LeMat-Bulk).

For the distance to the lowest polymorph of the same formula, the calculation gives 0.00 kJ per mole of atoms. The calculation puts the formation energy at -173 meV per atom. The calculation puts the spin magnetization at 0.00 μB/f.u.

The space group is P4/mmm (No. 123) and the conventional cell measures 3.6030, 3.6030 and 8.8348 Å, with angles of 90.00, 90.00 and 90.00 degrees. The asymmetric unit holds Pr at (0.0000, 0.0000, 0.0000), Y at (0.5000, 0.5000, 0.3000) and Zn at (0.0000, 0.0000, 0.5000).

# 7
# PrY2Zn4

A geometry-optimized PrY2Zn4 structure (PBE-GGA, Alexandria via LeMat-Bulk).

The calculation puts the formation energy at -142 meV per atom. The calculation puts the spin magnetization at 0.00 μB/f.u.

The space group is I4/mmm (No. 139) and the conventional cell measures 5.2481, 5.2481 and 12.5782 Å, with angles of 90.00, 90.00 and 90.00 degrees. The asymmetric unit holds Pr at (0.0000, 0.0000, 0.0000), Y at (0.0000, 0.0000, 0.2782) and Zn at (0.0000, 0.5000, 0.1144).

# 8
# Pr3YZn4

A geometry-optimized Pr3YZn4 structure (PBE-GGA, Alexandria via LeMat-Bulk).

The calculation puts the formation energy at -311 meV per atom. The calculation puts the spin magnetization at 0.00 μB/f.u.

The space group is R-3m (No. 166, hexagonal axes) and the conventional cell measures 5.1927, 5.1927 and 25.6117 Å, with angles of 90.00, 90.00 and 120.00 degrees. The asymmetric unit holds Pr at (0.0000, 0.0000, 0.0000), Pr at (0.0000, 0.0000, 0.2487), Y at (0.0000, 0.0000, 0.5000), Zn at (0.0000, 0.0000, 0.1267) and Zn at (0.0000, 0.0000, 0.3770).